YEr2Re: optimized geometry, PBE-GGA.

The space group is R-3m (No. 166, hexagonal axes) and the conventional cell measures 3.2118, 3.2118 and 33.8381 Å, with angles of 90.00, 90.00 and 120.00 degrees. The inequivalent atoms are Y at (0.0000, 0.0000, 0.0000), Er at (0.0000, 0.0000, 0.4210) and Re at (0.0000, 0.0000, 0.5000).

The calculation puts the calculated formation energy at 786 meV per atom.

LaZnPbAu: optimized geometry, PBE-GGA.

The space group is F-43m (No. 216) and the conventional cell measures 7.314, 7.314 and 7.314 Å, with angles of 90.00, 90.00 and 90.00 degrees. The inequivalent atoms are La at (0.000, 0.000, 0.000), Zn at (0.250, 0.250, 0.250), Pb at (0.000, 0.000, 0.500) and Au at (0.250, 0.250, 0.750).

The calculation puts the calculated formation energy at -484 meV per atom.

HgBrCl3: optimized geometry, PBE-GGA.

The space group is Pm-3m (No. 221) and the conventional cell measures 5.244, 5.244 and 5.244 Å, with angles of 90.00, 90.00 and 90.00 degrees. The inequivalent atoms are Hg at (0.000, 0.000, 0.000), Br at (0.500, 0.500, 0.500) and Cl at (0.000, 0.000, 0.500).

The energy relative to the elements, uncorrected is 80 meV per atom. The value obtained for the energy above the most stable polymorph in this dataset is 428 meV per atom.

RuWI2N: optimized geometry, PBE-GGA.

The space group is P4/mmm (No. 123) and the conventional cell measures 5.631, 5.631 and 3.806 Å, with angles of 90.00, 90.00 and 90.00 degrees. The inequivalent atoms are Ru at (0.000, 0.000, 0.000), W at (0.500, 0.500, 0.500), I at (0.000, 0.500, 0.500) and N at (0.500, 0.500, 0.000).

The energy relative to the elements, uncorrected is 1097 meV per atom. The value obtained for the energy above the most stable polymorph in this dataset is 0 meV per atom.

VCdNi: optimized geometry, PBE-GGA.

The space group is I4mm (No. 107) and the conventional cell measures 2.829, 2.829 and 11.276 Å, with angles of 90.00, 90.00 and 90.00 degrees. The inequivalent atoms are V at (0.000, 0.000, 0.000), Cd at (0.000, 0.000, 0.303) and Ni at (0.000, 0.000, 0.627).

The calculation puts the calculated formation energy at 104 meV per atom. The value obtained for the energy above the most stable polymorph in this dataset is 0 meV per atom.

HfNiGe2: optimized geometry, PBE-GGA.

The space group is I-42d (No. 122) and the conventional cell measures 4.061, 4.061 and 17.334 Å, with angles of 90.00, 90.00 and 90.00 degrees. The inequivalent atoms are Hf at (0.000, 0.000, 0.000), Ni at (0.000, 0.000, 0.500) and Ge at (0.196, 0.250, 0.625).

The calculation puts the calculated formation energy at -73 meV per atom.

ScRuPt3: optimized geometry, PBE-GGA.

The space group is Pm-3m (No. 221) and the conventional cell measures 4.793, 4.793 and 4.793 Å, with angles of 90.00, 90.00 and 90.00 degrees. The inequivalent atoms are Sc at (0.000, 0.000, 0.000), Ru at (0.500, 0.500, 0.500) and Pt at (0.000, 0.500, 0.500).

The calculation puts the calculated formation energy at 660 meV per atom. The value obtained for the energy above the most stable polymorph in this dataset is 0 meV per atom.

LiHCl2: optimized geometry, PBE-GGA.

The space group is R-3m (No. 166, hexagonal axes) and the conventional cell measures 3.5382, 3.5382 and 20.4482 Å, with angles of 90.00, 90.00 and 120.00 degrees. The inequivalent atoms are Li at (0.0000, 0.0000, 0.0000), H at (0.0000, 0.0000, 0.5000) and Cl at (0.0000, 0.0000, 0.1057).

The value obtained for the energy above the most stable polymorph in this dataset is 918 meV per atom.

| no. | theoretical density (g cm⁻³) | V (Å³/atom) | DFT total energy (eV for the cell shown) |
| --- | --- | --- | --- |
| 1 | 10.046 | 25.19 | -74.69 |
| 2 | 10.330 | 24.45 | -60.49 |
| 3 | 4.455 | 28.84 | -7.11 |
| 4 | 7.606 | 24.14 | -28.17 |
| 5 | 8.170 | 15.04 | -31.01 |
| 6 | 8.887 | 17.86 | -101.04 |
| 7 | 11.027 | 22.02 | -30.43 |
| 8 | 1.772 | 18.47 | -29.61 |